1.
MgReAg2Mo | PBEsol | optimized geometry

Cell: 4.353 4.353 4.803 Å, 90.00 90.00 90.00°
Sites, in units of the cell vectors:
Mg  0.000  0.000  0.000
Re  0.500  0.500  0.500
Ag  0.000  0.500  0.000
Ag  0.500  0.000  0.000
Mo  0.000  0.000  0.500

Summary:
For the energy relative to the elements, the calculation gives 2.0151 eV/atom. The total energy comes out at -23.36 eV/cell.

***

2.
Ga2CuAgSe4 | PBEsol | optimized geometry

Cell: 5.723 5.723 11.157 Å, 90.00 90.00 90.00°
Sites, in units of the cell vectors:
Ga  0.000  0.000  0.000
Ga  0.000  0.500  0.250
Ga  0.500  0.000  0.750
Ga  0.500  0.500  0.500
Cu  0.000  0.000  0.500
Cu  0.500  0.500  0.000
Ag  0.000  0.500  0.750
Ag  0.500  0.000  0.250
Se  0.236  0.258  0.381
Se  0.242  0.736  0.119
Se  0.258  0.764  0.619
Se  0.264  0.242  0.881
Se  0.736  0.758  0.881
Se  0.742  0.236  0.619
Se  0.758  0.264  0.119
Se  0.764  0.742  0.381

Summary:
The raw formation energy is -0.429 eV per atom. The total energy comes out at -66.32 eV/cell.

***

3.
LiLaPb2 | PBEsol | optimized geometry

Cell: 4.913 4.913 9.041 Å, 90.00 90.00 90.00°
Sites, in units of the cell vectors:
Li  0.000  0.000  0.000
Li  0.500  0.500  0.500
La  0.000  0.000  0.500
La  0.500  0.500  0.000
Pb  0.000  0.500  0.250
Pb  0.000  0.500  0.750
Pb  0.500  0.000  0.250
Pb  0.500  0.000  0.750

Summary:
For the energy relative to the elements, the calculation gives -0.4132 eV/atom. The total energy comes out at -33.93 eV/cell.

***

4.
Na2CaMgP2O8 | PBEsol | optimized geometry

Cell: 9.109 5.183 13.439 Å, 90.00 91.51 90.00°
Sites, in units of the cell vectors:
Na  0.078  0.217  0.383
Na  0.078  0.283  0.883
Na  0.412  0.219  0.086
Na  0.412  0.281  0.586
Na  0.588  0.719  0.414
Na  0.588  0.781  0.914
Na  0.922  0.717  0.117
Na  0.922  0.783  0.617
Ca  0.282  0.686  0.251
Ca  0.282  0.814  0.751
Ca  0.718  0.186  0.249
Ca  0.718  0.314  0.749
Mg  0.243  0.738  0.995
Mg  0.243  0.762  0.495
Mg  0.757  0.238  0.505
Mg  0.757  0.262  0.005
P  0.090  0.224  0.124
P  0.090  0.276  0.624
P  0.422  0.230  0.364
P  0.422  0.270  0.864
P  0.578  0.730  0.136
P  0.578  0.770  0.636
P  0.910  0.724  0.376
P  0.910  0.776  0.876
O  0.077  0.685  0.398
O  0.077  0.815  0.898
O  0.113  0.147  0.726
O  0.113  0.353  0.226
O  0.156  0.101  0.544
O  0.156  0.399  0.044
O  0.168  0.547  0.620
O  0.168  0.953  0.120
O  0.326  0.512  0.878
O  0.326  0.988  0.378
O  0.355  0.035  0.919
O  0.355  0.465  0.419
O  0.421  0.679  0.090
O  0.421  0.821  0.590
O  0.437  0.201  0.754
O  0.437  0.299  0.254
O  0.563  0.701  0.746
O  0.563  0.799  0.246
O  0.579  0.179  0.410
O  0.579  0.321  0.910
O  0.645  0.535  0.581
O  0.645  0.965  0.081
O  0.674  0.012  0.622
O  0.674  0.488  0.122
O  0.832  0.047  0.880
O  0.832  0.453  0.380
O  0.844  0.601  0.956
O  0.844  0.899  0.456
O  0.887  0.647  0.774
O  0.887  0.853  0.274
O  0.923  0.185  0.102
O  0.923  0.315  0.602

Summary:
The raw formation energy is -2.588 eV per atom. The total energy comes out at -385.86 eV/cell.

***

5.
Cu3P2H2O9 | PBEsol | optimized geometry

Cell: 9.398 9.398 12.126 Å, 103.22 103.22 38.48°
Sites, in units of the cell vectors:
Cu  0.103  0.722  0.642
Cu  0.147  0.329  0.901
Cu  0.278  0.897  0.858
Cu  0.287  0.483  0.315
Cu  0.329  0.147  0.401
Cu  0.483  0.287  0.815
Cu  0.517  0.713  0.185
Cu  0.671  0.853  0.599
Cu  0.713  0.517  0.685
Cu  0.722  0.103  0.142
Cu  0.853  0.671  0.099
Cu  0.897  0.278  0.358
P  0.143  0.353  0.643
P  0.249  0.618  0.098
P  0.353  0.143  0.143
P  0.382  0.751  0.402
P  0.618  0.249  0.598
P  0.647  0.857  0.857
P  0.751  0.382  0.902
P  0.857  0.647  0.357
H  0.024  0.036  0.638
H  0.036  0.024  0.138
H  0.194  0.711  0.906
H  0.289  0.806  0.594
H  0.711  0.194  0.406
H  0.806  0.289  0.094
H  0.964  0.976  0.862
H  0.976  0.964  0.362
O  0.004  0.773  0.128
O  0.005  0.668  0.379
O  0.006  0.590  0.610
O  0.134  0.822  0.851
O  0.158  0.354  0.072
O  0.178  0.866  0.649
O  0.227  0.996  0.372
O  0.231  0.728  0.371
O  0.234  0.335  0.771
O  0.272  0.769  0.129
O  0.288  0.527  0.973
O  0.332  0.995  0.121
O  0.335  0.234  0.271
O  0.354  0.158  0.572
O  0.410  0.994  0.890
O  0.413  0.422  0.677
O  0.422  0.413  0.177
O  0.473  0.712  0.527
O  0.527  0.288  0.473
O  0.578  0.587  0.823
O  0.587  0.578  0.323
O  0.590  0.006  0.110
O  0.646  0.842  0.428
O  0.665  0.766  0.729
O  0.668  0.005  0.879
O  0.712  0.473  0.027
O  0.728  0.231  0.871
O  0.766  0.665  0.229
O  0.769  0.272  0.629
O  0.773  0.004  0.628
O  0.822  0.134  0.351
O  0.842  0.646  0.928
O  0.866  0.178  0.149
O  0.994  0.410  0.390
O  0.995  0.332  0.621
O  0.996  0.227  0.872

Summary:
The total energy comes out at -401.19 eV/cell.

***

6.
ZnSbPb2 | PBEsol | optimized geometry

Cell: 3.984 5.269 9.825 Å, 90.00 90.00 90.00°
Sites, in units of the cell vectors:
Zn  0.000  0.000  0.000
Zn  0.500  0.500  0.500
Sb  0.000  0.500  0.302
Sb  0.500  0.000  0.802
Pb  0.000  0.000  0.518
Pb  0.000  0.500  0.736
Pb  0.500  0.000  0.236
Pb  0.500  0.500  0.018

Summary:
The raw formation energy is 0.113 eV per atom. The total energy comes out at -27.37 eV/cell.

***

7.
MgIrPdSe2 | PBEsol | optimized geometry

Cell: 4.797 4.797 4.814 Å, 90.00 90.00 90.00°
Sites, in units of the cell vectors:
Mg  0.000  0.000  0.000
Ir  0.500  0.500  0.000
Pd  0.500  0.500  0.500
Se  0.000  0.500  0.500
Se  0.500  0.000  0.500

Summary:
The raw formation energy is 0.674 eV per atom. The total energy comes out at -21.83 eV/cell.

***

8.
AlZn2Br | PBEsol | optimized geometry

Cell: 6.319 6.319 10.351 Å, 90.00 90.00 90.00°
Sites, in units of the cell vectors:
Al  0.000  0.000  0.000
Al  0.000  0.500  0.250
Al  0.500  0.000  0.750
Al  0.500  0.500  0.500
Zn  0.229  0.750  0.125
Zn  0.250  0.229  0.875
Zn  0.250  0.271  0.375
Zn  0.271  0.750  0.625
Zn  0.729  0.250  0.625
Zn  0.750  0.729  0.375
Zn  0.750  0.771  0.875
Zn  0.771  0.250  0.125
Br  0.000  0.000  0.500
Br  0.000  0.500  0.750
Br  0.500  0.000  0.250
Br  0.500  0.500  0.000

Summary:
The raw formation energy is 0.210 eV per atom. The total energy comes out at -33.15 eV/cell.